Computed, not measured: a relaxed YAs2SeF crystal at the PBE-GGA level of DFT.

abc: 5.494 5.494 5.309
angles: 90.00 90.00 90.00
Element x y z (fractional)
1 Y 0.000 0.000 0.000
2 F 0.500 0.500 0.500
3 Se 0.000 0.000 0.500
4 As 0.000 0.500 0.000
5 As 0.500 0.000 0.000

Values from the calculation:
Calculated volume ... 32.05 Å³/atom
Space-group type ... P4/mmm, No. 123
ΔE_f (raw) ... 0.47 eV/f.u.
Spin magnetization ... 0.00 μB/f.u.
Energy above the lowest structure with this stoichiometry ... 718 meV/atom

---

Computed, not measured: a relaxed PrGdZnRu crystal at the PBE-GGA level of DFT.

abc: 5.045 5.045 5.045
angles: 60.00 60.00 60.00
Last column: magnetic moment on the atom in μB.
Element x y z (fractional)
1 Zn 0.250 0.250 0.250  0.00
2 Gd 0.500 0.500 0.500  7.03
3 Pr 0.000 0.000 0.000  0.02
4 Ru 0.750 0.750 0.750  -0.13

Values from the calculation:
Formation energy from the elements ... -0.242 eV per atom
Calculated volume ... 22.70 Å³/atom
Space-group type ... F-43m, No. 216
Spin magnetization ... 7.10 μB/f.u.

---

| no. | DOS(E_F) (states/eV/f.u.) |
| --- | --- |
| 1 | 3.52 |
| 2 | 3.83 |